Record 1
# Ca2BePdSe

A relaxed structure of Ca2BePdSe (GGA-PBEsol, Alexandria).

Values from the calculation:
As for the formation energy (no corrections): -0.51 eV/atom.

Lattice parameters (Å, degrees): 4.197 5.383 5.383 90.00 90.00 90.00
Positions (direct):
Be: 0.500 0.000 0.000
Ca: 0.000 0.000 0.500
Ca: 0.000 0.500 0.000
Se: 0.500 0.500 0.500
Pd: 0.000 0.000 0.000

***

Record 2
# CaBeZnPd2

A relaxed structure of CaBeZnPd2 (GGA-PBEsol, Alexandria).

Values from the calculation:
As for the energy relative to the elements: -1.691 eV per formula unit.

Lattice parameters (Å, degrees): 4.307 4.344 4.344 90.00 90.00 90.00
Positions (direct):
Be: 0.000 0.000 0.000
Zn: 0.500 0.000 0.000
Ca: 0.500 0.500 0.500
Pd: 0.000 0.000 0.500
Pd: 0.000 0.500 0.000

***

Record 3
# Ca2BePt

A relaxed structure of Ca2BePt (GGA-PBEsol, Alexandria).

Values from the calculation:
As for the energy relative to the elements: 0.602 eV per formula unit.

Lattice parameters (Å, degrees): 5.611 6.203 6.203 78.20 63.11 63.11
Positions (direct):
Be: 0.500 0.000 0.000
Be: 0.250 0.500 0.500
Ca: 0.647 0.978 0.478
Ca: 0.103 0.022 0.522
Ca: 0.375 0.522 0.978
Ca: 0.875 0.478 0.022
Pt: 0.000 0.000 0.000
Pt: 0.750 0.500 0.500